(1)
The following is a DFT calculation (GGA-PBE) of a relaxed structure of TlSeBr.

Calculated values
The value obtained for the total magnetization is 0.00 μB/atom. The raw total energy is -2.701 eV per atom. The value obtained for the formation energy (no corrections) is -19 kJ per mole of atoms.

Structure (CIF):
```
data_TlSeBr
_chemical_formula_sum 'Tl2 Se2 Br2'
_cell_length_a 4.572
_cell_length_b 4.572
_cell_length_c 10.756
_cell_angle_alpha 90.00
_cell_angle_beta 90.00
_cell_angle_gamma 90.00
_space_group_name_H-M_alt 'I 4 m m'
_space_group_IT_number 107
_space_group_name_Hall 'I 4 -2'
loop_
_atom_site_label
_atom_site_type_symbol
_atom_site_fract_x
_atom_site_fract_y
_atom_site_fract_z
Tl1 Tl 0.000 0.000 0.000
Se1 Se 0.000 0.000 0.566
Br1 Br 0.000 0.000 0.343
```



(2)
The following is a DFT calculation (GGA-PBE) of a relaxed structure of Pr4SnBiTe2.

Calculated values
The value obtained for the total magnetization is 0.00 μB/atom. The raw total energy is -5.352 eV per atom. Its density of states at the Fermi level is 1.77 states/eV per cell. The value obtained for the formation energy (no corrections) is -115 kJ per mole of atoms.

Structure (CIF):
```
data_Pr4SnBiTe2
_chemical_formula_sum 'Pr4 Sn1 Bi1 Te2'
_cell_length_a 7.916
_cell_length_b 4.586
_cell_length_c 7.943
_cell_angle_alpha 90.00
_cell_angle_beta 109.49
_cell_angle_gamma 90.00
_space_group_name_H-M_alt 'P 1 2/m 1'
_space_group_IT_number 10
loop_
_space_group_symop_operation_xyz
'x,y,z'
'-x,-y,-z'
'-x,y,-z'
'x,-y,z'
loop_
_atom_site_label
_atom_site_type_symbol
_atom_site_fract_x
_atom_site_fract_y
_atom_site_fract_z
Pr1 Pr 0.242 0.000 0.243
Pr2 Pr 0.244 0.500 0.753
Sn1 Sn 0.000 0.500 0.000
Bi1 Bi 0.000 0.000 0.500
Te1 Te 0.500 0.000 0.000
Te2 Te 0.500 0.500 0.500
```



(3)
The following is a DFT calculation (GGA-PBE) of a relaxed structure of Sm2TmAg.

Calculated values
The value obtained for the total magnetization is 0.00 μB/atom. The raw total energy is -4.142 eV per atom. The value obtained for the formation energy is 0.048 eV/atom. The energy above the most stable polymorph in this dataset comes out at 0.1612 eV per atom. Its density of states at the Fermi level is 14.48 states/eV per cell.

Structure (CIF):
```
data_Sm2TmAg
_chemical_formula_sum 'Sm8 Tm4 Ag4'
_cell_length_a 7.669
_cell_length_b 7.669
_cell_length_c 7.669
_cell_angle_alpha 90.00
_cell_angle_beta 90.00
_cell_angle_gamma 90.00
_space_group_name_H-M_alt 'F m -3 m'
_space_group_IT_number 225
_space_group_name_Hall '-F 4 2 3'
loop_
_atom_site_label
_atom_site_type_symbol
_atom_site_fract_x
_atom_site_fract_y
_atom_site_fract_z
Sm1 Sm 0.250 0.250 0.250
Tm1 Tm 0.000 0.000 0.000
Ag1 Ag 0.000 0.000 0.500
```



(4)
The following is a DFT calculation (GGA-PBE) of a relaxed structure of K3LiAu.

Calculated values
The value obtained for the total magnetization is 0.00 μB/atom. The raw total energy is -1.706 eV per atom. The value obtained for the formation energy is -0.009 eV/atom. The energy above the most stable polymorph in this dataset comes out at 0.0000 eV per atom. Its density of states at the Fermi level is 5.25 states/eV per cell.

Structure (CIF):
```
data_K3LiAu
_chemical_formula_sum 'K3 Li1 Au1'
_cell_length_a 6.467
_cell_length_b 6.467
_cell_length_c 6.467
_cell_angle_alpha 90.00
_cell_angle_beta 90.00
_cell_angle_gamma 90.00
_space_group_name_H-M_alt 'P m -3 m'
_space_group_IT_number 221
_space_group_name_Hall '-P 4 2 3'
loop_
_atom_site_label
_atom_site_type_symbol
_atom_site_fract_x
_atom_site_fract_y
_atom_site_fract_z
K1 K 0.000 0.000 0.500
Li1 Li 0.500 0.500 0.500
Au1 Au 0.000 0.000 0.000
```



(5)
The following is a DFT calculation (GGA-PBE) of a relaxed structure of TiTlO2.

Calculated values
The value obtained for the total magnetization is 0.00 μB/atom. The raw total energy is -6.025 eV per atom. The energy above the most stable polymorph in this dataset comes out at 1.1048 eV per atom. Its density of states at the Fermi level is 10.28 states/eV per cell. The value obtained for the formation energy (no corrections) is -95 kJ per mole of atoms.

Structure (CIF):
```
data_TiTlO2
_chemical_formula_sum 'Ti3 Tl3 O6'
_cell_length_a 3.3979
_cell_length_b 3.3979
_cell_length_c 20.9142
_cell_angle_alpha 90.00
_cell_angle_beta 90.00
_cell_angle_gamma 120.00
_space_group_name_H-M_alt 'R -3 m'
_space_group_IT_number 166
_space_group_name_Hall '-R 3 2"'
loop_
_atom_site_label
_atom_site_type_symbol
_atom_site_fract_x
_atom_site_fract_y
_atom_site_fract_z
Ti1 Ti 0.0000 0.0000 0.0000
Tl1 Tl 0.0000 0.0000 0.5000
O1 O 0.0000 0.0000 0.0861
```



(6)
The following is a DFT calculation (GGA-PBE) of a relaxed structure of SnBrF2.

Calculated values
The value obtained for the total magnetization is 0.00 μB/atom. The raw total energy is -3.400 eV per atom. The energy above the most stable polymorph in this dataset comes out at 0.3243 eV per atom. Its density of states at the Fermi level is 29.61 states/eV per cell. The value obtained for the formation energy (no corrections) is -101 kJ per mole of atoms.

Structure (CIF):
```
data_SnBrF2
_chemical_formula_sum 'Sn4 Br4 F8'
_cell_length_a 6.447
_cell_length_b 6.447
_cell_length_c 6.447
_cell_angle_alpha 90.00
_cell_angle_beta 90.00
_cell_angle_gamma 90.00
_space_group_name_H-M_alt 'F m -3 m'
_space_group_IT_number 225
_space_group_name_Hall '-F 4 2 3'
loop_
_atom_site_label
_atom_site_type_symbol
_atom_site_fract_x
_atom_site_fract_y
_atom_site_fract_z
Sn1 Sn 0.000 0.000 0.000
Br1 Br 0.000 0.000 0.500
F1 F 0.250 0.250 0.250
```



(7)
The following is a DFT calculation (GGA-PBE) of a relaxed structure of FeWAu2.

Calculated values
The value obtained for the total magnetization is 0.65 μB/atom. The raw total energy is -6.594 eV per atom. The value obtained for the formation energy is 0.399 eV/atom. The energy above the most stable polymorph in this dataset comes out at 0.1649 eV per atom. Its density of states at the Fermi level is 4.23 states/eV per cell.

Structure (CIF):
```
data_FeWAu2
_chemical_formula_sum 'Fe1 W1 Au2'
_cell_length_a 2.738
_cell_length_b 4.158
_cell_length_c 5.636
_cell_angle_alpha 90.00
_cell_angle_beta 90.00
_cell_angle_gamma 90.00
_space_group_name_H-M_alt 'P m m m'
_space_group_IT_number 47
loop_
_space_group_symop_operation_xyz
'x,y,z'
'-x,-y,-z'
'-x,-y,z'
'x,y,-z'
'x,-y,-z'
'-x,y,z'
'-x,y,-z'
'x,-y,z'
loop_
_atom_site_label
_atom_site_type_symbol
_atom_site_fract_x
_atom_site_fract_y
_atom_site_fract_z
Fe1 Fe 0.000 0.000 0.000
W1 W 0.000 0.000 0.500
Au1 Au 0.500 0.500 0.248
```



(8)
The following is a DFT calculation (GGA-PBE) of a relaxed structure of HoTh4Sc7.

Calculated values
The value obtained for the total magnetization is 0.00 μB/atom. The raw total energy is -6.272 eV per atom. The value obtained for the formation energy is 0.276 eV/atom. Its density of states at the Fermi level is 39.56 states/eV per cell.

Structure (CIF):
```
data_HoTh4Sc7
_chemical_formula_sum 'Ho2 Th8 Sc14'
_cell_length_a 11.430
_cell_length_b 5.559
_cell_length_c 12.013
_cell_angle_alpha 90.00
_cell_angle_beta 116.60
_cell_angle_gamma 90.00
_space_group_name_H-M_alt 'C 1 2/m 1'
_space_group_IT_number 12
loop_
_space_group_symop_operation_xyz
'x,y,z'
'-x,-y,-z'
'-x,y,-z'
'x,-y,z'
'x+1/2,y+1/2,z'
'-x+1/2,-y+1/2,-z'
'-x+1/2,y+1/2,-z'
'x+1/2,-y+1/2,z'
loop_
_atom_site_label
_atom_site_type_symbol
_atom_site_fract_x
_atom_site_fract_y
_atom_site_fract_z
Ho1 Ho 0.000 0.000 0.000
Th1 Th 0.092 0.500 0.294
Th2 Th 0.148 0.000 0.772
Sc1 Sc 0.000 0.500 0.000
Sc2 Sc 0.128 0.000 0.487
Sc3 Sc 0.165 0.500 0.626
Sc4 Sc 0.207 0.500 0.916
```



(9)
The following is a DFT calculation (GGA-PBE) of a relaxed structure of TaAgMoW2.

Calculated values
The value obtained for the total magnetization is 0.00 μB/atom. The raw total energy is -8.197 eV per atom. The value obtained for the formation energy is 2.091 eV/atom. Its density of states at the Fermi level is 8.83 states/eV per cell.

Structure (CIF):
```
data_TaAgMoW2
_chemical_formula_sum 'Ta1 Ag1 Mo1 W2'
_cell_length_a 4.653
_cell_length_b 4.653
_cell_length_c 4.881
_cell_angle_alpha 90.00
_cell_angle_beta 90.00
_cell_angle_gamma 90.00
_space_group_name_H-M_alt 'P 4/m m m'
_space_group_IT_number 123
_space_group_name_Hall '-P 4 2'
loop_
_atom_site_label
_atom_site_type_symbol
_atom_site_fract_x
_atom_site_fract_y
_atom_site_fract_z
Ta1 Ta 0.000 0.000 0.000
Ag1 Ag 0.500 0.500 0.000
Mo1 Mo 0.500 0.500 0.500
W1 W 0.000 0.500 0.500
```



(10)
The following is a DFT calculation (GGA-PBE) of a relaxed structure of TaCo2H.

Calculated values
The value obtained for the total magnetization is 0.00 μB/atom. The raw total energy is -6.925 eV per atom. The energy above the most stable polymorph in this dataset comes out at 0.4425 eV per atom. Its density of states at the Fermi level is 4.13 states/eV per cell.

Structure (CIF):
```
data_TaCo2H
_chemical_formula_sum 'Ta4 Co8 H4'
_cell_length_a 5.647
_cell_length_b 5.647
_cell_length_c 5.647
_cell_angle_alpha 90.00
_cell_angle_beta 90.00
_cell_angle_gamma 90.00
_space_group_name_H-M_alt 'F m -3 m'
_space_group_IT_number 225
_space_group_name_Hall '-F 4 2 3'
loop_
_atom_site_label
_atom_site_type_symbol
_atom_site_fract_x
_atom_site_fract_y
_atom_site_fract_z
Ta1 Ta 0.000 0.000 0.000
Co1 Co 0.250 0.250 0.250
H1 H 0.000 0.000 0.500
```



(11)
The following is a DFT calculation (GGA-PBE) of a relaxed structure of Li3B8C8.

Calculated values
The value obtained for the total magnetization is 0.00 μB/atom. The raw total energy is -6.912 eV per atom. The value obtained for the formation energy is 0.086 eV/atom. The energy above the most stable polymorph in this dataset comes out at 0.0796 eV per atom. Its density of states at the Fermi level is 4.00 states/eV per cell.

Structure (CIF):
```
data_Li3B8C8
_chemical_formula_sum 'Li6 B16 C16'
_cell_length_a 9.137
_cell_length_b 5.433
_cell_length_c 8.250
_cell_angle_alpha 90.00
_cell_angle_beta 116.19
_cell_angle_gamma 90.00
_space_group_name_H-M_alt 'C 1 2/m 1'
_space_group_IT_number 12
loop_
_space_group_symop_operation_xyz
'x,y,z'
'-x,-y,-z'
'-x,y,-z'
'x,-y,z'
'x+1/2,y+1/2,z'
'-x+1/2,-y+1/2,-z'
'-x+1/2,y+1/2,-z'
'x+1/2,-y+1/2,z'
loop_
_atom_site_label
_atom_site_type_symbol
_atom_site_fract_x
_atom_site_fract_y
_atom_site_fract_z
Li1 Li 0.000 0.000 0.000
Li2 Li 0.238 0.500 0.506
B1 B 0.019 0.000 0.716
B2 B 0.029 0.500 0.745
B3 B 0.213 0.251 0.232
C1 C 0.058 0.249 0.271
C2 C 0.203 0.000 0.755
C3 C 0.214 0.500 0.780
```



(12)
The following is a DFT calculation (GGA-PBE) of a relaxed structure of NaEu2P.

Calculated values
The value obtained for the total magnetization is 3.56 μB/atom. The raw total energy is -7.388 eV per atom. The value obtained for the formation energy is -0.568 eV/atom. The energy above the most stable polymorph in this dataset comes out at 0.0096 eV per atom. Its density of states at the Fermi level is 2.30 states/eV per cell.

Structure (CIF):
```
data_NaEu2P
_chemical_formula_sum 'Na1 Eu2 P1'
_cell_length_a 3.762
_cell_length_b 3.762
_cell_length_c 8.760
_cell_angle_alpha 90.00
_cell_angle_beta 90.00
_cell_angle_gamma 90.00
_space_group_name_H-M_alt 'P 4/m m m'
_space_group_IT_number 123
_space_group_name_Hall '-P 4 2'
loop_
_atom_site_label
_atom_site_type_symbol
_atom_site_fract_x
_atom_site_fract_y
_atom_site_fract_z
Na1 Na 0.000 0.000 0.000
Eu1 Eu 0.500 0.500 0.325
P1 P 0.000 0.000 0.500
```



(13)
The following is a DFT calculation (GGA-PBE) of a relaxed structure of AcLa2Al9.

Calculated values
The value obtained for the total magnetization is 0.00 μB/atom. The raw total energy is -4.353 eV per atom. The value obtained for the formation energy is -0.382 eV/atom. Its density of states at the Fermi level is 14.86 states/eV per cell.

Structure (CIF):
```
data_AcLa2Al9
_chemical_formula_sum 'Ac3 La6 Al27'
_cell_length_a 5.8007
_cell_length_b 5.8007
_cell_length_c 26.8565
_cell_angle_alpha 90.00
_cell_angle_beta 90.00
_cell_angle_gamma 120.00
_space_group_name_H-M_alt 'R -3 m'
_space_group_IT_number 166
_space_group_name_Hall '-R 3 2"'
loop_
_atom_site_label
_atom_site_type_symbol
_atom_site_fract_x
_atom_site_fract_y
_atom_site_fract_z
Ac1 Ac 0.0000 0.0000 0.0000
La1 La 0.0000 0.0000 0.1415
Al1 Al 0.0000 0.0000 0.3357
Al2 Al 0.0000 0.0000 0.5000
Al3 Al 0.0079 0.5039 0.9178
```